# MnInI2F

An optimized crystal structure of MnInI2F (PBE with a Hubbard U, the Alexandria database).

Unit cell a=5.9937 b=5.9937 c=4.1209 alpha=90.00 beta=90.00 gamma=90.00
Closest atoms and distances in Å follow each position.
Space group P4/mmm (No. 123)
Unique sites:
Mn 0.0000 0.0000 0.0000 x1  2 F 2.06
In 0.5000 0.5000 0.5000 x1  8 I 3.64
I 0.0000 0.5000 0.0000 x2  2 Mn 3.00
F 0.0000 0.0000 0.5000 x1  2 Mn 2.06

Results
Calculated volume   148.0 Å³/cell
Final energy   -4.140 eV per atom